[1]
Below is a geometry-optimized CoPbN3 structure, with properties calculated at the PBE level.

a = 4.2997 Å, b = 4.2997 Å, c = 4.2997 Å
α = 90.00°, β = 90.00°, γ = 90.00°
Space group Pm-3m (No. 221)
Asymmetric unit:
Co  0.0000  0.0000  0.0000 x1
Pb  0.5000  0.5000  0.5000 x1
N  0.0000  0.5000  0.5000 x3

Calculated values
Formation energy from raw total energies   2.712 eV/atom
N(E_F)   12.472 states/eV/f.u.

[2]
Below is a geometry-optimized Ca2AgH6Os structure, with properties calculated at the PBE level.

a = 4.9660 Å, b = 4.9660 Å, c = 5.6746 Å
α = 90.00°, β = 90.00°, γ = 120.00°
Space group P-3m1 (No. 164)
Asymmetric unit:
Ca  0.3333  0.6667  0.3012 x2
Ag  0.0000  0.0000  0.0000 x1
H  0.1707  0.3414  0.6612 x6
Os  0.0000  0.0000  0.5000 x1

Calculated values
E   -4.164 eV/atom
N(E_F)   3.042 states/eV/f.u.

[3]
Below is a geometry-optimized BiRu structure, with properties calculated at the PBE level.

a = 5.5431 Å, b = 5.5431 Å, c = 5.5431 Å
α = 90.00°, β = 90.00°, γ = 90.00°
Space group Fm-3m (No. 225)
Asymmetric unit:
Bi  0.0000  0.0000  0.0000 x4
Ru  0.0000  0.0000  0.5000 x4

Calculated values
Formation energy   0.717 eV/atom
N(E_F)   2.678 states/eV/f.u.

- What is the N(E_F) in the second record?
  3.042 states/eV/f.u.

Repeat the third record exactly.
Below is a geometry-optimized BiRu structure, with properties calculated at the PBE level.

a = 5.5431 Å, b = 5.5431 Å, c = 5.5431 Å
α = 90.00°, β = 90.00°, γ = 90.00°
Space group Fm-3m (No. 225)
Asymmetric unit:
Bi  0.0000  0.0000  0.0000 x4
Ru  0.0000  0.0000  0.5000 x4

Calculated values
Formation energy   0.717 eV/atom
N(E_F)   2.678 states/eV/f.u.

- Look up the N(E_F) of the second one.
  3.042 states/eV/f.u.

- Which formula does entry 1 have?
  CoPbN3